A plane-wave DFT calculation with PBE-GGA was carried out for an optimized crystal structure of MgGa9Ni2.

Uncorrected energy = -3.4848 eV/atom
Energy of formation from the pure elements = -0.118 eV per atom
N(E_F) = 0.24 states/eV/atom
V = 16.75 Å³ per atom

```
data_MgGa9Ni2
_chemical_formula_sum 'Mg4 Ga36 Ni8'
_cell_length_a 11.1806
_cell_length_b 11.1806
_cell_length_c 6.4309
_cell_angle_alpha 90.00
_cell_angle_beta 90.00
_cell_angle_gamma 90.00
_space_group_name_H-M_alt 'I 41/a m d'
_space_group_IT_number 141
loop_
_space_group_symop_operation_xyz
'x,y,z'
'-x,-y,-z'
'-y+1/4,x+3/4,z+1/4'
'y+1/4,-x+3/4,-z+1/4'
'-x+1/2,-y,z+1/2'
'x+1/2,y,-z+1/2'
'y+1/4,-x+1/4,z+3/4'
'-y+1/4,x+1/4,-z+3/4'
'x,-y,-z'
'-x,y,z'
'-y+1/4,-x+1/4,-z+3/4'
'y+1/4,x+1/4,z+3/4'
'-x+1/2,y,-z+1/2'
'x+1/2,-y,z+1/2'
'y+1/4,x+3/4,-z+1/4'
'-y+1/4,-x+3/4,z+1/4'
'x+1/2,y+1/2,z+1/2'
'-x+1/2,-y+1/2,-z+1/2'
'-y+3/4,x+1/4,z+3/4'
'y+3/4,-x+1/4,-z+3/4'
'-x,-y+1/2,z'
'x,y+1/2,-z'
'y+3/4,-x+3/4,z+1/4'
'-y+3/4,x+3/4,-z+1/4'
'x+1/2,-y+1/2,-z+1/2'
'-x+1/2,y+1/2,z+1/2'
'-y+3/4,-x+3/4,-z+1/4'
'y+3/4,x+3/4,z+1/4'
'-x,y+1/2,-z'
'x,-y+1/2,z'
'y+3/4,x+1/4,-z+3/4'
'-y+3/4,-x+1/4,z+3/4'
loop_
_atom_site_label
_atom_site_type_symbol
_atom_site_fract_x
_atom_site_fract_y
_atom_site_fract_z
Mg1 Mg 0.0000 0.2500 0.3750
Ga1 Ga 0.0000 0.2500 0.8750
Ga2 Ga 0.1201 0.0682 0.6673
Ni1 Ni 0.0000 0.0000 0.0000
```